(1)
## Ac6Ge2PbS3 (PBE)

Data for a geometry-optimized Ac6Ge2PbS3 structure.

Calculated values
Total energy   -65.76 eV per cell
Total magnetization   0.00 μB per formula unit

POSCAR file:
```
Ac6Ge2PbS3
1.0
9.829 -2.269 0.000
9.829 2.269 0.000
-1.854 0.000 8.859
Ac Ge Pb S
6 2 1 3
Direct
0.001 0.001 0.266
0.328 0.328 0.909
0.331 0.331 0.417
0.669 0.669 0.583
0.672 0.672 0.091
0.999 0.999 0.734
0.166 0.166 0.335
0.834 0.834 0.665
0.500 0.500 0.000
0.167 0.167 0.833
0.500 0.500 0.500
0.833 0.833 0.167
```

***

(2)
## SrMn2SnB (PBE)

Data for a geometry-optimized SrMn2SnB structure.

Calculated values
Energy of formation   2.1173 eV per atom
Total magnetization   8.07 μB per formula unit

POSCAR file:
```
SrMn2SnB
1.0
5.766 0.000 0.000
0.000 5.766 0.000
0.000 0.000 5.171
Sr Mn Sn B
1 2 1 1
Direct
0.000 0.000 0.000
0.000 0.500 0.000
0.500 0.000 0.000
0.500 0.500 0.500
0.000 0.000 0.500
```